Entry 1:
Compound: Sm2DyTh
Source: Alexandria
Functional: PBE
Structure: relaxed

```
Sm2DyTh
1.0
5.7174 0.0000 0.0000
2.8587 4.9514 0.0000
2.8587 1.6505 4.6682
Sm Th Dy
2 1 1
Direct
0.2500 0.2500 0.2500
0.7500 0.7500 0.7500
0.5000 0.5000 0.5000
0.0000 0.0000 0.0000
```

calculated volume: 132 Å³ per cell
E_form: 0.198 eV per atom
space-group type: Fm-3m
crystal system: cubic
mass density: 8.7 g/cm³

***

Entry 2:
Compound: Sm2Dy2Th15
Source: Alexandria
Functional: PBE
Structure: relaxed

```
Sm2Dy2Th15
1.0
6.6232 -5.7224 -0.3145
6.6232 5.7224 -0.3145
2.0978 0.0000 8.5035
Sm Dy Th
2 2 15
Direct
0.6782 0.6782 0.6782
0.3218 0.3218 0.3218
0.9013 0.9013 0.9013
0.0987 0.0987 0.0987
0.5000 0.0000 0.0000
0.0000 0.0000 0.5000
0.0000 0.5000 0.0000
0.0000 0.2983 0.7017
0.2983 0.7017 0.0000
0.7017 0.0000 0.2983
0.7017 0.2983 0.0000
0.2983 0.0000 0.7017
0.0000 0.7017 0.2983
0.8405 0.3556 0.3556
0.3556 0.3556 0.8405
0.3556 0.8405 0.3556
0.1595 0.6444 0.6444
0.6444 0.6444 0.1595
0.6444 0.1595 0.6444
```

calculated volume: 652 Å³ per cell
E_form: 0.282 eV per atom
space-group type: R-3m
crystal system: trigonal
mass density: 10.5 g/cm³

***

Entry 3:
Compound: Sm2Dy3Th2
Source: Alexandria
Functional: PBE
Structure: relaxed

```
Sm2Dy3Th2
1.0
-1.1757 -0.3520 3.3783
-7.8433 -5.2105 -1.3617
1.2648 -7.5438 -2.2618
Sm Dy Th
2 3 2
Direct
0.5756 0.1418 0.2916
0.4244 0.8582 0.7084
0.0000 0.0000 0.0000
0.2960 0.5656 0.1587
0.7040 0.4344 0.8413
0.1432 0.2878 0.5740
0.8568 0.7122 0.4260
```

calculated volume: 227 Å³ per cell
E_form: 0.031 eV per atom
space-group type: P-1
crystal system: triclinic
mass density: 9.2 g/cm³

***

Entry 4:
Compound: Sm6DyTh4
Source: Alexandria
Functional: PBE
Structure: relaxed

```
Sm6DyTh4
1.0
-5.8581 0.7494 -0.3076
-0.4001 -1.9615 2.8415
4.4663 15.2978 9.0634
Sm Dy Th
6 1 4
Direct
0.7322 0.2322 0.4643
0.9050 0.4050 0.8099
0.0950 0.5950 0.1901
0.6312 0.1312 0.2624
0.3688 0.8688 0.7376
0.2678 0.7678 0.5357
0.0000 0.0000 0.0000
0.4569 0.4569 0.9139
0.1822 0.1822 0.3644
0.8178 0.8178 0.6356
0.5431 0.5431 0.0861
```

calculated volume: 370 Å³ per cell
E_form: 0.173 eV per atom
space-group type: Immm
crystal system: orthorhombic
mass density: 8.9 g/cm³

***

Entry 5:
Compound: Sm8Dy5Th
Source: Alexandria
Functional: PBE
Structure: relaxed

```
Sm8Dy5Th
1.0
-8.4408 0.6191 -1.0000
3.7156 -2.8460 -7.1223
1.2810 -5.3924 6.4739
Sm Dy Th
8 5 1
Direct
0.1562 0.7289 0.0713
0.9287 0.0849 0.6575
0.7335 0.2599 0.3384
0.6616 0.3951 0.9215
0.5264 0.6049 0.2665
0.5726 0.9151 0.8438
0.3425 0.2711 0.4274
0.0785 0.7401 0.4736
0.0343 0.3159 0.1285
0.8715 0.9058 0.1874
0.8126 0.6841 0.7183
0.5000 0.0000 0.5000
0.2817 0.0942 0.9657
0.2500 0.5000 0.7500
```

calculated volume: 476 Å³ per cell
E_form: 0.284 eV per atom
space-group type: I-4
crystal system: tetragonal
mass density: 7.8 g/cm³

***

Entry 6:
Compound: SmDy7Th4
Source: Alexandria
Functional: PBE
Structure: relaxed

```
SmDy7Th4
1.0
-3.2010 -1.5863 -0.1510
1.7241 0.2538 3.1223
-15.3551 30.4133 6.0068
Sm Dy Th
1 7 4
Direct
0.0000 0.0000 0.5000
0.0000 0.0000 0.0000
0.3333 0.6667 0.4145
0.6667 0.3333 0.5855
0.3333 0.6667 0.1645
0.6667 0.3333 0.8355
0.0000 0.0000 0.7489
0.0000 0.0000 0.2511
0.3333 0.6667 0.9166
0.6667 0.3333 0.0834
0.3333 0.6667 0.6677
0.6667 0.3333 0.3323
```

calculated volume: 383 Å³ per cell
E_form: 0.019 eV per atom
space-group type: P-3m1
crystal system: trigonal
mass density: 9.6 g/cm³

***

Entry 7:
Compound: SmDy6Th2
Source: Alexandria
Functional: PBE
Structure: relaxed

```
SmDy6Th2
1.0
3.1281 0.5265 1.4460
2.9927 9.3456 6.7909
2.1291 0.9930 11.7002
Sm Dy Th
1 6 2
Direct
0.0000 0.0000 0.0000
0.8306 0.3349 0.9999
0.1694 0.0001 0.6651
0.1694 0.6651 0.0001
0.5000 0.3349 0.6651
0.8306 0.9999 0.3349
0.5000 0.6651 0.3349
0.3327 0.6668 0.6668
0.6673 0.3332 0.3332
```

calculated volume: 286 Å³ per cell
E_form: 0.055 eV per atom
space-group type: C2/m
crystal system: monoclinic
mass density: 9.2 g/cm³

***

Entry 8:
Compound: SmDy3Th3
Source: Alexandria
Functional: PBE
Structure: relaxed

```
SmDy3Th3
1.0
-2.3615 5.0080 -1.9294
-8.0314 -4.5874 -2.0770
1.1717 3.8576 8.5786
Sm Dy Th
2 6 6
Direct
0.7500 0.3333 0.6666
0.2500 0.6667 0.3334
0.2500 0.5308 0.6221
0.2500 0.0912 0.4692
0.2500 0.3779 0.9088
0.7500 0.4692 0.3779
0.7500 0.9088 0.5308
0.7500 0.6221 0.0912
0.7500 0.7665 0.8125
0.7500 0.0461 0.2335
0.7500 0.1869 0.9540
0.2500 0.2335 0.1875
0.2500 0.9539 0.7665
0.2500 0.8131 0.0460
```

calculated volume: 456 Å³ per cell
E_form: 0.046 eV per atom
space-group type: P6_3/m
crystal system: hexagonal
mass density: 9.7 g/cm³

***

Entry 9:
Compound: SmDyThTl
Source: Alexandria
Functional: PBE
Structure: relaxed

```
SmDyThTl
1.0
5.5087 0.0000 0.0000
2.7543 4.7706 0.0000
2.7543 1.5902 4.4978
Tl Sm Th Dy
1 1 1 1
Direct
0.0000 0.0000 0.0000
0.7500 0.7500 0.7500
0.5000 0.5000 0.5000
0.2500 0.2500 0.2500
```

calculated volume: 118 Å³ per cell
E_form: 0.054 eV per atom
space-group type: F-43m
crystal system: cubic
mass density: 10.5 g/cm³

***

Entry 10:
Compound: SmDy2TmTh
Source: Alexandria
Functional: PBE
Structure: relaxed

```
SmDy2TmTh
1.0
-0.5865 5.7553 2.2836
-6.7838 1.1572 -4.6590
-2.9818 -2.4901 5.5099
Sm Dy Tm Th
2 4 2 2
Direct
0.0000 0.0000 0.0000
0.0000 0.0000 0.5000
0.6200 0.6717 0.8893
0.6200 0.3283 0.6107
0.3800 0.6717 0.3893
0.3800 0.3283 0.1107
0.1226 0.5000 0.7500
0.8774 0.5000 0.2500
0.5399 0.0000 0.2500
0.4601 0.0000 0.7500
```

calculated volume: 345 Å³ per cell
E_form: 0.376 eV per atom
space-group type: P2/c
crystal system: monoclinic
mass density: 8.4 g/cm³

***

Entry 11:
Compound: SmDy6Tm2Th3
Source: Alexandria
Functional: PBE
Structure: relaxed

```
SmDy6Tm2Th3
1.0
-5.9460 1.6130 -0.1731
2.9926 -1.3002 -5.2288
-2.0504 -11.1906 2.8230
Sm Dy Tm Th
1 6 2 3
Direct
0.0000 0.0000 0.0000
0.9156 0.5816 0.7466
0.7504 0.7504 0.2532
0.0844 0.4184 0.2534
0.5816 0.9156 0.7466
0.2496 0.2496 0.7468
0.4184 0.0844 0.2534
0.3332 0.6668 0.0000
0.6668 0.3332 0.0000
0.1663 0.8337 0.5000
0.8337 0.1663 0.5000
0.5000 0.5000 0.5000
```

calculated volume: 380 Å³ per cell
E_form: 0.024 eV per atom
space-group type: C2/m
crystal system: monoclinic
mass density: 9.4 g/cm³

***

Entry 12:
Compound: Sm3DyTm6Th2
Source: Alexandria
Functional: PBE
Structure: relaxed

```
Sm3DyTm6Th2
1.0
-0.8218 -1.4942 5.9069
5.6747 0.2035 -2.3571
-0.8074 11.5037 1.7285
Sm Dy Tm Th
3 1 6 2
Direct
0.1662 0.8338 0.5000
0.8338 0.1662 0.5000
0.5000 0.5000 0.5000
0.0000 0.0000 0.0000
0.9179 0.5806 0.7537
0.7448 0.7448 0.2466
0.0821 0.4194 0.2463
0.5806 0.9179 0.7537
0.2552 0.2552 0.7534
0.4194 0.0821 0.2463
0.3334 0.6666 0.0000
0.6666 0.3334 0.0000
```

calculated volume: 376 Å³ per cell
E_form: 0.020 eV per atom
space-group type: C2/m
crystal system: monoclinic
mass density: 9.2 g/cm³

***

Entry 13:
Compound: SmDyTmTh2
Source: Alexandria
Functional: PBE
Structure: relaxed

```
SmDyTmTh2
1.0
-4.2241 1.0498 5.0342
-0.1658 -6.5363 1.2238
6.1067 4.0319 4.2832
Sm Dy Tm Th
2 2 2 4
Direct
0.2500 0.6528 0.3057
0.7500 0.3472 0.6943
0.7500 0.7515 0.5030
0.2500 0.2485 0.4970
0.2500 0.8489 0.6978
0.7500 0.1511 0.3022
0.5000 0.2486 0.0000
0.0000 0.7514 0.0000
0.5000 0.7514 0.0000
0.0000 0.2486 0.0000
```

calculated volume: 345 Å³ per cell
E_form: 0.417 eV per atom
space-group type: Cmcm
crystal system: orthorhombic
mass density: 9.1 g/cm³

***

Entry 14:
Compound: Sm2Dy4TmTh
Source: Alexandria
Functional: PBE
Structure: relaxed

```
Sm2Dy4TmTh
1.0
5.9067 0.0001 0.0000
0.0001 5.6872 1.6181
0.0001 3.6750 8.6947
Sm Dy Tm Th
2 4 1 1
Direct
0.0000 0.0000 0.0000
0.5000 0.0000 0.5000
0.0000 0.7509 0.7494
0.0000 0.2491 0.2506
0.5000 0.7496 0.2504
0.5000 0.2504 0.7496
0.0000 0.5000 0.5000
0.5000 0.5000 0.0000
```

calculated volume: 257 Å³ per cell
E_form: 0.132 eV per atom
space-group type: P4/mmm
crystal system: tetragonal
mass density: 8.7 g/cm³

***

Entry 15:
Compound: Sm2DyTmTh
Source: Alexandria
Functional: PBE
Structure: relaxed

```
Sm2DyTmTh
1.0
6.3314 0.0000 0.0000
0.0000 8.4589 1.1175
0.0000 -1.3841 6.1928
Sm Dy Tm Th
4 2 2 2
Direct
0.7037 0.6879 0.7775
0.7037 0.3121 0.7225
0.2963 0.6879 0.2775
0.2963 0.3121 0.2225
0.0000 0.0000 0.0000
0.0000 0.0000 0.5000
0.1847 0.5000 0.7500
0.8153 0.5000 0.2500
0.5506 0.0000 0.2500
0.4494 0.0000 0.7500
```

calculated volume: 341 Å³ per cell
E_form: 0.321 eV per atom
space-group type: P2/c
crystal system: monoclinic
mass density: 8.4 g/cm³

***

Entry 16:
Compound: SmDy6Tm2Th
Source: Alexandria
Functional: PBE
Structure: relaxed

```
SmDy6Tm2Th
1.0
-3.8654 7.1548 4.9911
-7.0999 -5.0290 0.6152
6.3358 -1.4063 5.8274
Sm Dy Tm Th
2 12 4 2
Direct
0.2500 0.9731 0.0269
0.7500 0.0269 0.9731
0.0591 0.1200 0.7513
0.4409 0.2487 0.8800
0.9409 0.8800 0.2487
0.5591 0.7513 0.1200
0.3166 0.9783 0.4299
0.1834 0.5701 0.0217
0.6834 0.0217 0.5701
0.8166 0.4299 0.9783
0.1182 0.7031 0.4911
0.3818 0.5089 0.2969
0.8818 0.2969 0.5089
0.6182 0.4911 0.7031
0.4525 0.8050 0.7026
0.0475 0.2974 0.1950
0.5475 0.1950 0.2974
0.9525 0.7026 0.8050
0.2500 0.4064 0.5936
0.7500 0.5936 0.4064
```

calculated volume: 643 Å³ per cell
E_form: 0.143 eV per atom
space-group type: C2/c
crystal system: monoclinic
mass density: 8.8 g/cm³

***

Entry 17:
Compound: SmDy5TmTh2
Source: Alexandria
Functional: PBE
Structure: relaxed

```
SmDy5TmTh2
1.0
-2.5148 3.7300 7.5770
-7.2676 -4.9829 0.0408
8.6344 -4.8009 0.1052
Sm Dy Tm Th
2 10 2 4
Direct
0.2500 0.2500 0.5000
0.7500 0.7500 0.5000
0.9294 0.4294 0.2772
0.6521 0.1521 0.7228
0.0706 0.5706 0.7228
0.1521 0.0706 0.7228
0.5706 0.6521 0.7228
0.8479 0.9294 0.2772
0.4294 0.3479 0.2772
0.3479 0.8479 0.2772
0.5000 0.5000 0.0000
0.0000 0.0000 0.0000
0.2500 0.7500 0.5000
0.7500 0.2500 0.5000
0.1192 0.3808 0.0000
0.6192 0.1192 0.0000
0.3808 0.8808 0.0000
0.8808 0.6192 0.0000
```

calculated volume: 595 Å³ per cell
E_form: 0.343 eV per atom
space-group type: I4/mcm
crystal system: tetragonal
mass density: 8.9 g/cm³

***

Entry 18:
Compound: Sm3Dy6Tm2Th
Source: Alexandria
Functional: PBE
Structure: relaxed

```
Sm3Dy6Tm2Th
1.0
6.1623 0.0005 0.0129
-3.0792 5.3378 0.0129
-1.0535 -1.8241 11.6134
Sm Dy Tm Th
3 6 2 1
Direct
0.1670 0.8330 0.5000
0.8330 0.1670 0.5000
0.5000 0.5000 0.5000
0.9175 0.5871 0.7532
0.7520 0.7520 0.2466
0.0825 0.4129 0.2468
0.5871 0.9175 0.7532
0.2480 0.2480 0.7534
0.4129 0.0825 0.2468
0.3332 0.6668 0.0000
0.6668 0.3332 0.0000
0.0000 0.0000 0.0000
```

calculated volume: 382 Å³ per cell
E_form: 0.021 eV per atom
space-group type: C2/m
crystal system: monoclinic
mass density: 8.7 g/cm³

***

Entry 19:
Compound: Sm2DyTm5Th
Source: Alexandria
Functional: PBE
Structure: relaxed

```
Sm2DyTm5Th
1.0
-0.9025 -7.1809 4.7751
8.2592 -2.1008 -1.5981
-1.5180 8.4574 4.5592
Sm Dy Tm Th
4 2 10 2
Direct
0.1151 0.3849 0.0000
0.6151 0.1151 0.0000
0.3849 0.8849 0.0000
0.8849 0.6151 0.0000
0.2500 0.7500 0.5000
0.7500 0.2500 0.5000
0.9260 0.4260 0.2762
0.6498 0.1498 0.7238
0.0740 0.5740 0.7238
0.1498 0.0740 0.7238
0.5740 0.6498 0.7238
0.8502 0.9260 0.2762
0.4260 0.3502 0.2762
0.3502 0.8502 0.2762
0.5000 0.5000 0.0000
0.0000 0.0000 0.0000
0.2500 0.2500 0.5000
0.7500 0.7500 0.5000
```

calculated volume: 568 Å³ per cell
E_form: 0.300 eV per atom
space-group type: I4/mcm
crystal system: tetragonal
mass density: 9.0 g/cm³

***

Entry 20:
Compound: Sm5Dy2TmTh
Source: Alexandria
Functional: PBE
Structure: relaxed

```
Sm5Dy2TmTh
1.0
5.6137 0.0000 0.0000
-2.8068 10.2008 0.0000
0.0000 0.0000 10.5486
Sm Dy Tm Th
10 4 2 2
Direct
0.3854 0.7709 0.0245
0.7240 0.4479 0.8126
0.4820 0.9641 0.7445
0.2944 0.5887 0.7052
0.9861 0.9722 0.5179
0.6146 0.2291 0.5245
0.2760 0.5521 0.3126
0.5180 0.0359 0.2445
0.7056 0.4113 0.2052
0.0139 0.0278 0.0179
0.8855 0.7711 0.8102
0.1126 0.2251 0.7372
0.1145 0.2289 0.3102
0.8874 0.7749 0.2372
0.5947 0.1894 0.9601
0.4053 0.8106 0.4601
0.8014 0.6028 0.5119
0.1986 0.3972 0.0119
```

calculated volume: 604 Å³ per cell
E_form: 0.155 eV per atom
space-group type: Cmc2_1
crystal system: orthorhombic
mass density: 8.1 g/cm³